The following is a DFT calculation (GGA-PBE) of LiAcPt after structural relaxation.

a b c (Å): 6.9640 6.9640 6.9640
angles (deg): 90.00 90.00 90.00
Closest atoms and distances in Å follow each position.
Space group F-43m (No. 216)
Unique sites:
Li1 0.0000 0.0000 0.0000 [4 per cell]  4 Pt 3.02
Ac1 0.0000 0.0000 0.5000 [4 per cell]  4 Pt 3.02
Pt1 0.2500 0.2500 0.2500 [4 per cell]  4 Ac 3.02, 4 Li 3.02

Properties
E_tot, eV/atom: -4.683
ΔH_f (0 K), eV/f.u.: -1.986
E above lowest polymorph, kJ per mole of atoms: 12.5